Entry 1:
Compound: MgBeAlFe
Source: the Open Quantum Materials Database
Functional: PBE
Structure: optimized geometry

Its uncorrected energy is -4.188 eV/atom. The excess energy over the best structure of this formula in the dataset comes out at 0.000 eV/atom.

It has space group F-43m (No. 216), with a = 5.8743 Å, b = 5.8743 Å, c = 5.8743 Å, α = 90.00°, β = 90.00° and γ = 90.00°. The asymmetric unit holds Mg at (0.0000, 0.0000, 0.0000), Be at (0.2500, 0.2500, 0.2500), Al at (0.0000, 0.0000, 0.5000) and Fe at (0.2500, 0.2500, 0.7500).

---

Entry 2:
Compound: Cs2CuAgBr2Cl4
Source: the Open Quantum Materials Database
Functional: PBE
Structure: optimized geometry

Its uncorrected energy is -2.941 eV/atom.

It has space group I4/mmm (No. 139), with a = 7.2391 Å, b = 7.2391 Å, c = 11.3371 Å, α = 90.00°, β = 90.00° and γ = 90.00°. The asymmetric unit holds Cs at (0.0000, 0.5000, 0.2500), Cu at (0.0000, 0.0000, 0.0000), Ag at (0.0000, 0.0000, 0.5000), Br at (0.0000, 0.0000, 0.2772) and Cl at (0.2213, 0.2213, 0.0000).

---

Entry 3:
Compound: DyTlZnSe3
Source: the Open Quantum Materials Database
Functional: PBE
Structure: optimized geometry

Its uncorrected energy is -4.233 eV/atom.

It has space group P2_1/m (No. 11), with a = 8.3836 Å, b = 4.1189 Å, c = 10.6229 Å, α = 90.00°, β = 109.26° and γ = 90.00°. The asymmetric unit holds Dy at (0.1900, 0.2500, 0.1389), Tl at (0.2319, 0.7500, 0.7125), Zn at (0.4237, 0.7500, 0.3910), Se at (0.0487, 0.2500, 0.8583), Se at (0.2763, 0.2500, 0.4389) and Se at (0.4366, 0.7500, 0.1635).

---

Entry 4:
Compound: LiZrAgS3
Source: the Open Quantum Materials Database
Functional: PBE
Structure: optimized geometry

Its uncorrected energy is -5.298 eV/atom. The excess energy over the best structure of this formula in the dataset comes out at 0.060 eV/atom.

It has space group Cmcm (No. 63), with a = 3.7454 Å, b = 12.9560 Å, c = 10.1688 Å, α = 90.00°, β = 90.00° and γ = 90.00°. The asymmetric unit holds Li at (0.0000, 0.1821, 0.2500), Zr at (0.0000, 0.5000, 0.0000), Ag at (0.0000, 0.0906, 0.7500), S at (0.0000, 0.1379, 0.5203) and S at (0.0000, 0.4391, 0.7500).